Material: Ba12Ge3O5
Method: DFT, PBE
State: relaxed

a = 15.2811 Å, b = 15.2811 Å, c = 15.2811 Å
α = 109.47°, β = 109.47°, γ = 109.47°
Closest atoms and distances in Å follow each position.
Fractional positions:
Ba  0.0208  0.2027  0.1198  2 O 2.58-2.87
Ba  0.0208  0.3181  0.9010  2 O 2.58-2.87
Ba  0.0829  0.7027  0.6819  2 O 2.58-2.87
Ba  0.0829  0.8802  0.4010  2 O 2.58-2.87
Ba  0.0990  0.6198  0.4171  2 O 2.58-2.87
Ba  0.0990  0.9792  0.6819  2 O 2.58-2.87
Ba  0.1198  0.0208  0.2027  2 O 2.58-2.87
Ba  0.1198  0.5990  0.9171  2 O 2.58-2.87
Ba  0.1819  0.2027  0.5829  2 O 2.58-2.87
Ba  0.1819  0.4792  0.5990  2 O 2.58-2.87
Ba  0.2027  0.1198  0.0208  2 O 2.58-2.87
Ba  0.2027  0.5829  0.1819  2 O 2.58-2.87
Ba  0.2973  0.3181  0.9171  2 O 2.58-2.87
Ba  0.2973  0.4792  0.3802  2 O 2.58-2.87
Ba  0.3181  0.9010  0.0208  2 O 2.58-2.87
Ba  0.3181  0.9171  0.2973  2 O 2.58-2.87
Ba  0.3802  0.2973  0.4792  2 O 2.58-2.87
Ba  0.3802  0.5829  0.9010  2 O 2.58-2.87
Ba  0.4010  0.0829  0.8802  2 O 2.58-2.87
Ba  0.4010  0.8181  0.5208  2 O 2.58-2.87
Ba  0.4171  0.0990  0.6198  2 O 2.58-2.87
Ba  0.4171  0.8181  0.7973  2 O 2.58-2.87
Ba  0.4792  0.3802  0.2973  2 O 2.58-2.87
Ba  0.4792  0.5990  0.1819  2 O 2.58-2.87
Ba  0.5208  0.4010  0.8181  2 O 2.58-2.87
Ba  0.5208  0.6198  0.7027  2 O 2.58-2.87
Ba  0.5829  0.1819  0.2027  2 O 2.58-2.87
Ba  0.5829  0.9010  0.3802  2 O 2.58-2.87
Ba  0.5990  0.1819  0.4792  2 O 2.58-2.87
Ba  0.5990  0.9171  0.1198  2 O 2.58-2.87
Ba  0.6198  0.4171  0.0990  2 O 2.58-2.87
Ba  0.6198  0.7027  0.5208  2 O 2.58-2.87
Ba  0.6819  0.0829  0.7027  2 O 2.58-2.87
Ba  0.6819  0.0990  0.9792  2 O 2.58-2.87
Ba  0.7027  0.5208  0.6198  2 O 2.58-2.87
Ba  0.7027  0.6819  0.0829  2 O 2.58-2.87
Ba  0.7973  0.4171  0.8181  2 O 2.58-2.87
Ba  0.7973  0.8802  0.9792  2 O 2.58-2.87
Ba  0.8181  0.5208  0.4010  2 O 2.58-2.87
Ba  0.8181  0.7973  0.4171  2 O 2.58-2.87
Ba  0.8802  0.4010  0.0829  2 O 2.58-2.87
Ba  0.8802  0.9792  0.7973  2 O 2.58-2.87
Ba  0.9010  0.0208  0.3181  2 O 2.58-2.87
Ba  0.9010  0.3802  0.5829  2 O 2.58-2.87
Ba  0.9171  0.1198  0.5990  2 O 2.58-2.87
Ba  0.9171  0.2973  0.3181  2 O 2.58-2.87
Ba  0.9792  0.6819  0.0990  2 O 2.58-2.87
Ba  0.9792  0.7973  0.8802  2 O 2.58-2.87
Ge  0.1250  0.2500  0.3750  8 Ba 3.39-3.57
Ge  0.1250  0.3750  0.7500  8 Ba 3.39-3.57
Ge  0.2500  0.3750  0.1250  8 Ba 3.39-3.57
Ge  0.2500  0.8750  0.6250  8 Ba 3.39-3.57
Ge  0.3750  0.1250  0.2500  8 Ba 3.39-3.57
Ge  0.3750  0.7500  0.1250  8 Ba 3.39-3.57
Ge  0.6250  0.2500  0.8750  8 Ba 3.39-3.57
Ge  0.6250  0.8750  0.7500  8 Ba 3.39-3.57
Ge  0.7500  0.1250  0.3750  8 Ba 3.39-3.57
Ge  0.7500  0.6250  0.8750  8 Ba 3.39-3.57
Ge  0.8750  0.6250  0.2500  8 Ba 3.39-3.57
Ge  0.8750  0.7500  0.6250  8 Ba 3.39-3.57
O  0.0000  0.0000  0.0000  6 Ba 2.87
O  0.0000  0.0000  0.5000  6 Ba 2.87
O  0.0000  0.5000  0.0000  6 Ba 2.87
O  0.0000  0.5000  0.5000  6 Ba 2.87
O  0.1250  0.7500  0.8750  4 Ba 2.58
O  0.1250  0.8750  0.2500  4 Ba 2.58
O  0.2500  0.1250  0.8750  4 Ba 2.58
O  0.2500  0.6250  0.3750  4 Ba 2.58
O  0.3750  0.2500  0.6250  4 Ba 2.58
O  0.3750  0.6250  0.7500  4 Ba 2.58
O  0.5000  0.0000  0.0000  6 Ba 2.87
O  0.5000  0.0000  0.5000  6 Ba 2.87
O  0.5000  0.5000  0.0000  6 Ba 2.87
O  0.5000  0.5000  0.5000  6 Ba 2.87
O  0.6250  0.3750  0.2500  4 Ba 2.58
O  0.6250  0.7500  0.3750  4 Ba 2.58
O  0.7500  0.3750  0.6250  4 Ba 2.58
O  0.7500  0.8750  0.1250  4 Ba 2.58
O  0.8750  0.1250  0.7500  4 Ba 2.58
O  0.8750  0.2500  0.1250  4 Ba 2.58

Output
Uncorrected formation energy ... -27.9 eV per formula unit
Total magnetization ... 2.5 Bohr magnetons per cell
Crystal system ... cubic

Material: Ca2Ga7Pt
Method: DFT, PBE
State: relaxed

a = 4.3250 Å, b = 4.3250 Å, c = 10.7518 Å
α = 90.00°, β = 90.00°, γ = 90.00°
Closest atoms and distances in Å follow each position.
Fractional positions:
Ca  0.0000  0.5000  0.2393  14 Ga 3.28-3.54, 2 Pt 3.36
Ca  0.5000  0.0000  0.7607  14 Ga 3.28-3.54, 2 Pt 3.36
Ga  0.0000  0.0000  0.0000  4 Ga 2.57
Ga  0.0000  0.0000  0.5000  4 Ga 2.63
Ga  0.0000  0.5000  0.6385  5 Ga 2.50-2.63
Ga  0.0000  0.5000  0.8706  3 Ga 2.50-2.57, 2 Pt 2.57
Ga  0.5000  0.0000  0.1294  3 Ga 2.50-2.57, 2 Pt 2.57
Ga  0.5000  0.0000  0.3615  5 Ga 2.50-2.63
Ga  0.5000  0.5000  0.5000  4 Ga 2.63
Pt  0.5000  0.5000  0.0000  4 Ga 2.57

Output
Total magnetization ... 0.0 Bohr magnetons per cell
Crystal system ... tetragonal
ΔH_f (0 K) ... -490 meV per atom

Material: ZrBe2Ge
Method: DFT, PBE
State: relaxed

a = 8.2505 Å, b = 8.2505 Å, c = 8.2505 Å
α = 151.72°, β = 151.72°, γ = 40.42°
Closest atoms and distances in Å follow each position.
Fractional positions:
Zr  0.3750  0.6250  0.7500  4 Ge 2.85, 8 Be 2.97
Zr  0.6250  0.3750  0.2500  4 Ge 2.85, 8 Be 2.97
Be  0.0000  0.0000  0.0000  2 Be 2.02, 2 Ge 2.18
Be  0.0000  0.0000  0.5000  2 Be 2.02, 2 Ge 2.18
Be  0.0000  0.5000  0.0000  2 Be 2.02, 2 Ge 2.18
Be  0.5000  0.0000  0.5000  2 Be 2.02, 2 Ge 2.18
Ge  0.1250  0.8750  0.2500  4 Be 2.18
Ge  0.8750  0.1250  0.7500  4 Be 2.18

Output
Total magnetization ... 0.0 Bohr magnetons per cell
Crystal system ... tetragonal
ΔH_f (0 K) ... 154 meV per atom

Q: Look up the total magnetization of the third one.
A: 0.0 Bohr magnetons per cell